No. 1
DFT (PBE) results for a relaxed TlCdTeF crystal.

Cell lengths 4.2926, 4.2926, 9.9655 Å; angles 90.00, 90.00, 90.08 degrees
Positions (direct):
Tl  0.2500  0.2500  0.0000
Tl  0.7500  0.7500  0.0000
Cd  0.2500  0.7500  0.6200
Cd  0.7500  0.2500  0.3800
Te  0.2500  0.7500  0.2539
Te  0.7500  0.2500  0.7461
F  0.2500  0.2500  0.5000
F  0.7500  0.7500  0.5000

## Properties
Offset from the most stable computed form = 1.244 eV per formula unit
Final energy = -2.7876 eV/atom

---

No. 2
DFT (PBE) results for a relaxed TlCdTeF crystal.

Cell lengths 12.6253, 12.6253, 12.6253 Å; angles 19.70, 19.70, 19.70 degrees
Positions (direct):
Tl  0.1991  0.1991  0.1991
Tl  0.8009  0.8009  0.8009
Cd  0.3732  0.3732  0.3732
Cd  0.6268  0.6268  0.6268
Te  0.0822  0.0822  0.0822
Te  0.9178  0.9178  0.9178
F  0.3140  0.3140  0.3140
F  0.6860  0.6860  0.6860

## Properties
Offset from the most stable computed form = 0.343 eV per formula unit
Final energy = -3.0126 eV/atom

---

No. 3
DFT (PBE) results for a relaxed TlCdTeF crystal.

Cell lengths 4.5382, 4.5382, 10.5911 Å; angles 90.00, 90.00, 90.00 degrees
Positions (direct):
Tl  0.2500  0.2500  0.1183
Tl  0.7500  0.7500  0.8817
Cd  0.2500  0.7500  0.5000
Cd  0.7500  0.2500  0.5000
Te  0.2500  0.2500  0.6726
Te  0.7500  0.7500  0.3274
F  0.2500  0.7500  0.0000
F  0.7500  0.2500  0.0000

## Properties
Offset from the most stable computed form = 0.000 eV per formula unit
Final energy = -3.0985 eV/atom

---

No. 4
DFT (PBE) results for a relaxed TlCdTeF crystal.

Cell lengths 10.0103, 20.0295, 4.2937 Å; angles 90.00, 90.00, 90.00 degrees
Positions (direct):
Tl  0.0070  0.2461  0.0000
Tl  0.2302  0.8650  0.0000
Tl  0.2698  0.3650  0.0000
Tl  0.4930  0.7461  0.0000
Tl  0.5070  0.2539  0.0000
Tl  0.7302  0.6350  0.0000
Tl  0.7698  0.1350  0.0000
Tl  0.9930  0.7539  0.0000
Cd  0.0670  0.5917  0.5000
Cd  0.0980  0.0819  0.5000
Cd  0.4020  0.5819  0.5000
Cd  0.4330  0.0917  0.5000
Cd  0.5670  0.9083  0.5000
Cd  0.5980  0.4181  0.5000
Cd  0.9020  0.9181  0.5000
Cd  0.9330  0.4083  0.5000
Te  0.2213  0.4736  0.5000
Te  0.2462  0.2023  0.5000
Te  0.2538  0.7023  0.5000
Te  0.2787  0.9736  0.5000
Te  0.7213  0.0264  0.5000
Te  0.7462  0.2977  0.5000
Te  0.7538  0.7977  0.5000
Te  0.7787  0.5264  0.5000
F  0.0034  0.3822  0.0000
F  0.0143  0.0856  0.0000
F  0.4857  0.5856  0.0000
F  0.4966  0.8822  0.0000
F  0.5034  0.1178  0.0000
F  0.5143  0.4144  0.0000
F  0.9857  0.9144  0.0000
F  0.9966  0.6178  0.0000

## Properties
Offset from the most stable computed form = 0.501 eV per formula unit
Final energy = -2.9733 eV/atom